Entry 1:
# Tb3PrF15 PBE optimized geometry
data_Tb3PrF15
_chemical_formula_sum 'Tb9 Pr3 F45'
_symmetry_space_group_name_H-M 'R 3 m'
_symmetry_Int_Tables_number 160
_symmetry_space_group_name_Hall 'R 3 -2"'
_cell_length_a 12.1556
_cell_length_b 12.1556
_cell_length_c 5.9156
_cell_angle_alpha 90.00
_cell_angle_beta 90.00
_cell_angle_gamma 120.00
loop_
_atom_site_label
_atom_site_type_symbol
_atom_site_fract_x
_atom_site_fract_y
_atom_site_fract_z
Tb1 Tb 0.1745 0.3490 0.0000
Pr1 Pr 0.0000 0.0000 0.8004
F1 F 0.0362 0.4158 0.9650
F2 F 0.1092 0.2183 0.7265
F3 F 0.1275 0.0638 0.4698
F4 F 0.1818 0.0909 0.0341
# Magnetic moment (μB/cell): 8.99
# Crystal system: trigonal

---

Entry 2:
# PrZr2F11 PBE optimized geometry
data_PrZr2F11
_chemical_formula_sum 'Pr4 Zr8 F44'
_symmetry_space_group_name_H-M 'I b a m'
_symmetry_Int_Tables_number 72
_symmetry_space_group_name_Hall '-I 2 2c'
_cell_length_a 7.744
_cell_length_b 10.022
_cell_length_c 10.536
_cell_angle_alpha 90.00
_cell_angle_beta 90.00
_cell_angle_gamma 90.00
loop_
_atom_site_label
_atom_site_type_symbol
_atom_site_fract_x
_atom_site_fract_y
_atom_site_fract_z
Pr1 Pr 0.000 0.000 0.250
Zr1 Zr 0.131 0.320 0.000
F1 F 0.000 0.500 0.000
F2 F 0.105 0.189 0.145
F3 F 0.132 0.282 0.500
F4 F 0.238 0.070 0.368
# Magnetic moment (μB/cell): 0.00
# Crystal system: orthorhombic

---

Entry 3:
# PtF5 PBE optimized geometry
data_PtF5
_chemical_formula_sum 'Pt2 F10'
_symmetry_space_group_name_H-M 'P -1'
_symmetry_Int_Tables_number 2
_cell_length_a 4.474
_cell_length_b 5.022
_cell_length_c 6.901
_cell_angle_alpha 74.18
_cell_angle_beta 89.73
_cell_angle_gamma 64.78
loop_
_symmetry_equiv_pos_as_xyz
'x,y,z'
'-x,-y,-z'
loop_
_atom_site_label
_atom_site_type_symbol
_atom_site_fract_x
_atom_site_fract_y
_atom_site_fract_z
Pt1 Pt 0.110 0.282 0.220
F1 F 0.077 0.697 0.055
F2 F 0.132 0.892 0.352
F3 F 0.279 0.290 0.466
F4 F 0.335 0.508 0.732
F5 F 0.457 0.907 0.852
# Magnetic moment (μB/cell): 2.00
# Crystal system: triclinic

---

Entry 4:
# PtF2 PBE optimized geometry
data_PtF2
_chemical_formula_sum 'Pt2 F4'
_symmetry_space_group_name_H-M 'P 42/m n m'
_symmetry_Int_Tables_number 136
_symmetry_space_group_name_Hall '-P 4n 2n'
_cell_length_a 5.494
_cell_length_b 5.494
_cell_length_c 3.167
_cell_angle_alpha 90.00
_cell_angle_beta 90.00
_cell_angle_gamma 90.00
loop_
_atom_site_label
_atom_site_type_symbol
_atom_site_fract_x
_atom_site_fract_y
_atom_site_fract_z
Pt1 Pt 0.000 0.000 0.000
F1 F 0.166 0.166 0.500
# Magnetic moment (μB/cell): 0.00
# Crystal system: tetragonal

---

| no. | calculated total energy (Ry per atom) |
| --- | --- |
| 1 | -0.4180 |
| 2 | -0.5007 |
| 3 | -0.2649 |
| 4 | -0.2919 |